(1)
First-principles (PBE) data for crystalline RuPtSe4 at its relaxed geometry, as listed in Alexandria. Values from VASP.

Geometry as Quantum ESPRESSO input:
```
&SYSTEM
  ibrav = 0, nat = 12, ntyp = 3
/
ATOMIC_SPECIES
Se 78.96 Se.upf
Pt 195.08 Pt.upf
Ru 101.07 Ru.upf
CELL_PARAMETERS angstrom
3.7131 0.0000 0.0000
0.0000 6.4788 0.0030
0.0000 0.0122 10.4300
ATOMIC_POSITIONS crystal
Se 0.0000 0.3291 0.6259
Se 0.5000 0.1709 0.8741
Se 0.5000 0.1612 0.3740
Se 0.5000 0.8291 0.1259
Se 0.0000 0.6709 0.3741
Se 0.0000 0.3388 0.1260
Se 0.0000 0.6612 0.8740
Se 0.5000 0.8388 0.6260
Pt 0.0000 0.0000 0.0000
Pt 0.5000 0.5000 0.5000
Ru 0.0000 0.0000 0.5000
Ru 0.5000 0.5000 0.0000
```

- formation energy without anion corrections (meV/atom) = -270
- density of states at the Fermi level (states/eV per cell) = 9.4
- total moment (μB per atom) = 0.000



(2)
First-principles (PBE) data for crystalline SrHfGa3 at its relaxed geometry, as listed in Alexandria. Values from VASP.

Geometry as Quantum ESPRESSO input:
```
&SYSTEM
  ibrav = 0, nat = 5, ntyp = 3
/
ATOMIC_SPECIES
Ga 69.72 Ga.upf
Sr 87.62 Sr.upf
Hf 178.49 Hf.upf
CELL_PARAMETERS angstrom
-4.3796 -2.2870 1.6759
2.8353 -3.5227 2.6023
-0.0092 3.0952 4.2000
ATOMIC_POSITIONS crystal
Ga 0.0000 0.5000 0.0000
Ga 0.5000 0.0000 0.0000
Ga 0.0000 0.0000 0.5000
Sr 0.5000 0.5000 0.5000
Hf 0.0000 0.0000 0.0000
```

- energy of formation from the pure elements (eV/atom) = -0.019
- density of states at the Fermi level (states/eV per cell) = 6.1
- total moment (μB per atom) = 0.000



| no. | energy above the most stable polymorph in this dataset (meV per atom) |
| --- | --- |
| 1 | 0 |
| 2 | 0 |